(1)
The following is a PBE calculation of crystalline Pm3NCl3 at its relaxed geometry, from Alexandria.

DOS at the Fermi energy: 5.0 states/eV/cell
raw formation energy: -1.78 eV per atom
space group: P2_1/m (11)
magnetic moment: 0.00 Bohr magnetons per cell
crystal system: monoclinic

Cell: 8.082 3.739 10.977 Å, 90.00 92.69 90.00°
Sites, in units of the cell vectors:
Pm1 0.088 0.250 0.392
Pm2 0.131 0.250 0.842
Pm3 0.325 0.750 0.625
Pm4 0.675 0.250 0.375
Pm5 0.869 0.750 0.158
Pm6 0.912 0.750 0.608
N1 0.122 0.250 0.619
N2 0.878 0.750 0.381
Cl1 0.129 0.250 0.122
Cl2 0.377 0.750 0.368
Cl3 0.387 0.750 0.877
Cl4 0.613 0.250 0.123
Cl5 0.623 0.250 0.632
Cl6 0.871 0.750 0.878

(2)
The following is a PBE calculation of crystalline PmN2Cl2 at its relaxed geometry, from Alexandria.

DOS at the Fermi energy: 0.0 states/eV/cell
raw formation energy: -1.11 eV per atom
space group: C2/m (12)
magnetic moment: 2.00 Bohr magnetons per cell
crystal system: monoclinic

Cell: 7.340 7.340 7.045 Å, 93.44 93.44 119.94°
Sites, in units of the cell vectors:
Pm1 0.174 0.826 0.000
Pm2 0.826 0.174 0.000
N1 0.030 0.030 0.813
N2 0.188 0.188 0.867
N3 0.812 0.812 0.133
N4 0.970 0.970 0.187
Cl1 0.113 0.530 0.238
Cl2 0.470 0.887 0.762
Cl3 0.530 0.113 0.238
Cl4 0.887 0.470 0.762

(3)
The following is a PBE calculation of crystalline Pm2NCl2 at its relaxed geometry, from Alexandria.

energy above the lowest structure with this stoichiometry: 0.1267 eV per atom
DOS at the Fermi energy: 3.7 states/eV/cell
raw formation energy: -1.77 eV per atom
space group: C2/m (12)
magnetic moment: 0.66 Bohr magnetons per cell
crystal system: monoclinic

Cell: 10.145 10.145 7.462 Å, 97.36 97.36 22.61°
Sites, in units of the cell vectors:
Pm1 0.166 0.166 0.356
Pm2 0.322 0.322 0.071
Pm3 0.678 0.678 0.929
Pm4 0.834 0.834 0.644
N1 0.209 0.209 0.100
N2 0.791 0.791 0.900
Cl1 0.104 0.104 0.689
Cl2 0.423 0.423 0.796
Cl3 0.577 0.577 0.204
Cl4 0.896 0.896 0.311

(4)
The following is a PBE calculation of crystalline Pm5N4Cl at its relaxed geometry, from Alexandria.

DOS at the Fermi energy: 2.1 states/eV/cell
raw formation energy: -1.42 eV per atom
space group: Immm (71)
magnetic moment: 0.00 Bohr magnetons per cell
crystal system: orthorhombic

Cell: 9.856 9.856 9.856 Å, 158.81 148.89 37.95°
Sites, in units of the cell vectors:
Pm1 0.000 0.000 0.000
Pm2 0.198 0.198 0.000
Pm3 0.381 0.381 0.000
Pm4 0.619 0.619 0.000
Pm5 0.802 0.802 0.000
N1 0.099 0.599 0.500
N2 0.298 0.798 0.500
N3 0.702 0.202 0.500
N4 0.901 0.401 0.500
Cl1 0.500 0.000 0.500